1.
The following is a DFT calculation (PBE) of crystalline YRe at its relaxed geometry.

Properties
Energy of formation from the pure elements ... 1.549 eV per atom
Fermi-level density of states ... 29.80 states/eV/cell
Magnetic moment ... 12.42 Bohr magnetons per cell
E_tot ... -126.51 eV per cell

Cell lengths 8.564, 8.564, 8.564 Å; angles 90.00, 90.00, 90.00 degrees
Space group I-43m (No. 217)
Asymmetric unit:
Y1 0.210 0.210 0.210
Re1 0.106 0.106 0.894

2.
The following is a DFT calculation (PBE) of crystalline ThPaPd2 at its relaxed geometry.

Properties
Energy of formation from the pure elements ... -0.430 eV per atom
Fermi-level density of states ... 14.18 states/eV/cell
Magnetic moment ... 0.99 Bohr magnetons per cell
E_tot ... -87.07 eV per cell

Cell lengths 3.8982, 3.8982, 22.6845 Å; angles 90.00, 90.00, 120.00 degrees
Space group R-3m (No. 166, hexagonal axes)
Asymmetric unit:
Th1 0.0000 0.0000 0.0000
Pa1 0.0000 0.0000 0.5000
Pd1 0.0000 0.0000 0.2459

3.
The following is a DFT calculation (PBE) of crystalline CaBiC3 at its relaxed geometry.

Properties
Energy of formation from the pure elements ... 2.477 eV per atom
Fermi-level density of states ... 4.87 states/eV/cell
Magnetic moment ... 1.33 Bohr magnetons per cell
E_tot ... -21.17 eV per cell

Cell lengths 4.529, 4.529, 4.529 Å; angles 90.00, 90.00, 90.00 degrees
Space group Pm-3m (No. 221)
Asymmetric unit:
Ca1 0.000 0.000 0.000
Bi1 0.500 0.500 0.500
C1 0.000 0.500 0.500

4.
The following is a DFT calculation (PBE) of crystalline Fe2HPtRh at its relaxed geometry.

Properties
Fermi-level density of states ... 3.65 states/eV/cell
Magnetic moment ... 6.60 Bohr magnetons per cell
E_tot ... -33.85 eV per cell

Cell lengths 3.896, 3.896, 3.761 Å; angles 90.00, 90.00, 90.00 degrees
Space group P4/mmm (No. 123)
Asymmetric unit:
Fe1 0.000 0.500 0.000
H1 0.000 0.000 0.000
Pt1 0.000 0.000 0.500
Rh1 0.500 0.500 0.500